## SrZrO3 (GGA-PBE)

Data for a relaxed structure of SrZrO3.

Cell: 5.7481 5.7481 16.1925 Å, 90.00 90.00 120.00°
Space group R-3 (No. 148, hexagonal axes)
Symmetry-distinct sites (fractional):
1 Sr 0.0000 0.0000 0.1345 [6 per cell]
2 Zr 0.0000 0.0000 0.3475 [6 per cell]
3 O 0.0165 0.6127 0.9258 [18 per cell]

Output
formation energy without anion corrections = -3200.2 meV per atom
total DFT energy (no corrections) = -8.221 eV/atom

=====

## SrZrO3 (GGA-PBE)

Data for a relaxed structure of SrZrO3.

Cell: 5.840 5.840 4.229 Å, 90.00 90.00 90.00°
Space group P4/mbm (No. 127)
Symmetry-distinct sites (fractional):
1 Sr 0.000 0.500 0.000 [2 per cell]
2 Zr 0.000 0.000 0.500 [2 per cell]
3 O 0.000 0.000 0.000 [2 per cell]
4 O 0.193 0.307 0.500 [4 per cell]

Output
formation energy without anion corrections = -3225.3 meV per atom
total DFT energy (no corrections) = -8.246 eV/atom

=====

## SrZrO3 (GGA-PBE)

Data for a relaxed structure of SrZrO3.

Cell: 4.178 4.178 4.269 Å, 90.00 90.00 90.00°
Space group P4mm (No. 99)
Symmetry-distinct sites (fractional):
1 Sr 0.000 0.000 0.000 [1 per cell]
2 Zr 0.500 0.500 0.554 [1 per cell]
3 O 0.000 0.500 0.608 [2 per cell]
4 O 0.500 0.500 0.079 [1 per cell]

Output
formation energy without anion corrections = -3196.7 meV per atom
total DFT energy (no corrections) = -8.218 eV/atom

=====

## SrZrO3 (GGA-PBE)

Data for a relaxed structure of SrZrO3.

Cell: 6.7180 6.7180 9.0490 Å, 90.00 90.00 120.00°
Space group R3m (No. 160, hexagonal axes)
Symmetry-distinct sites (fractional):
1 Sr 0.0000 0.0000 0.0000 [3 per cell]
2 Zr 0.0000 0.0000 0.6511 [3 per cell]
3 O 0.0508 0.5254 0.4279 [9 per cell]

Output
formation energy without anion corrections = -2575.6 meV per atom
total DFT energy (no corrections) = -7.597 eV/atom

=====

## SrZrO3 (GGA-PBE)

Data for a relaxed structure of SrZrO3.

Cell: 5.912 8.298 5.846 Å, 90.00 90.00 90.00°
Space group Pnma (No. 62)
Symmetry-distinct sites (fractional):
1 Sr 0.033 0.250 0.007 [4 per cell]
2 Zr 0.000 0.000 0.500 [4 per cell]
3 O 0.021 0.750 0.423 [4 per cell]
4 O 0.213 0.541 0.787 [8 per cell]

Output
formation energy without anion corrections = -3244.9 meV per atom
total DFT energy (no corrections) = -8.266 eV/atom

=====

## Sr6ZrO8 (GGA-PBE)

Data for a relaxed structure of Sr6ZrO8.

Cell: 10.232 10.232 10.232 Å, 90.00 90.00 90.00°
Space group Fm-3m (No. 225)
Symmetry-distinct sites (fractional):
1 Sr 0.000 0.250 0.250 [24 per cell]
2 Zr 0.000 0.000 0.000 [4 per cell]
3 O 0.000 0.000 0.212 [24 per cell]
4 O 0.250 0.250 0.250 [8 per cell]

Output
formation energy without anion corrections = -2897.5 meV per atom
total DFT energy (no corrections) = -6.784 eV/atom